# 1
DFT (GGA-PBE) results for a geometry-optimized Pm3MnB2N6 structure.

Unit cell a=5.3606 b=5.3606 c=6.1176 alpha=90.00 beta=90.00 gamma=120.00
Fractional coordinates of all 12 atoms:
Pm1 0.0000 0.0000 0.0000
Pm2 0.3333 0.6667 0.6694
Pm3 0.6667 0.3333 0.3306
Mn1 0.0000 0.0000 0.5000
B1 0.3333 0.6667 0.2658
B2 0.6667 0.3333 0.7342
N1 0.1768 0.3535 0.2910
N2 0.1768 0.8232 0.2910
N3 0.3535 0.1768 0.7090
N4 0.6465 0.8232 0.2910
N5 0.8232 0.1768 0.7090
N6 0.8232 0.6465 0.7090

Output
- density of states at the Fermi level (states/eV per cell) = 2.17
- uncorrected formation energy (meV/atom) = -943
- calculated density (kg/m3) = 6496


# 2
DFT (GGA-PBE) results for a geometry-optimized YTeS2Cl structure.

Unit cell a=5.1563 b=5.1563 c=5.1767 alpha=90.00 beta=90.00 gamma=90.00
Fractional coordinates of all 5 atoms:
Y1 0.0000 0.0000 0.0000
Te1 0.5000 0.5000 0.5000
S1 0.0000 0.5000 0.5000
S2 0.5000 0.0000 0.5000
Cl1 0.5000 0.5000 0.0000

Output
- offset from the most stable computed form (meV per atom) = 480.9
- density of states at the Fermi level (states/eV per cell) = 3.81
- uncorrected formation energy (meV/atom) = -123
- calculated density (kg/m3) = 3814


# 3
DFT (GGA-PBE) results for a geometry-optimized Ag2PtBr structure.

Unit cell a=2.9721 b=2.9721 c=29.4585 alpha=90.00 beta=90.00 gamma=120.00
Fractional coordinates of all 12 atoms:
Ag1 0.0000 0.0000 0.0000
Ag2 0.0000 0.0000 0.2535
Ag3 0.3333 0.6667 0.6667
Ag4 0.3333 0.6667 0.9202
Ag5 0.6667 0.3333 0.3333
Ag6 0.6667 0.3333 0.5869
Pt1 0.0000 0.0000 0.5102
Pt2 0.3333 0.6667 0.1768
Pt3 0.6667 0.3333 0.8435
Br1 0.0000 0.0000 0.7517
Br2 0.3333 0.6667 0.4184
Br3 0.6667 0.3333 0.0851

Output
- offset from the most stable computed form (meV per atom) = 164.6
- density of states at the Fermi level (states/eV per cell) = 7.23
- uncorrected formation energy (meV/atom) = 297
- calculated density (kg/m3) = 10847